Record 1
Rb3TbSm2O6 | GGA-PBE | optimized geometry Values from VASP.

Quantum ESPRESSO input file:
```
&SYSTEM
  ibrav = 0, nat = 12, ntyp = 4
/
ATOMIC_SPECIES
Rb 85.47 Rb.upf
Tb 158.93 Tb.upf
Sm 150.36 Sm.upf
O 16.00 O.upf
ATOMIC_POSITIONS crystal
Rb 0.1662 0.8338 0.5000
Rb 0.8338 0.1662 0.5000
Rb 0.5000 0.5000 0.5000
Tb 0.0000 0.0000 0.0000
Sm 0.3333 0.6667 0.0000
Sm 0.6667 0.3333 0.0000
O 0.9406 0.6124 0.8221
O 0.7311 0.7311 0.1780
O 0.0594 0.3876 0.1779
O 0.6124 0.9406 0.8221
O 0.2689 0.2689 0.8220
O 0.3876 0.0594 0.1779
CELL_PARAMETERS angstrom
-3.1703 0.7551 -5.2895
6.1190 -1.0624 -0.1703
-2.1158 -6.3821 1.5735
```

Values from the calculation:
Space group   No. 12
Uncorrected formation energy   -2.63 eV per atom

=====

Record 2
Be2AlAs2 | GGA-PBE | optimized geometry Values from VASP.

Quantum ESPRESSO input file:
```
&SYSTEM
  ibrav = 0, nat = 5, ntyp = 3
/
ATOMIC_SPECIES
Be 9.01 Be.upf
As 74.92 As.upf
Al 26.98 Al.upf
ATOMIC_POSITIONS crystal
Be 0.7500 0.2500 0.5000
Be 0.2500 0.7500 0.5000
As 0.3629 0.3629 0.2743
As 0.6371 0.6371 0.7257
Al 0.0000 0.0000 0.0000
CELL_PARAMETERS angstrom
-2.1431 2.5982 1.0121
-1.4585 0.0434 -3.1998
-6.2745 -3.1401 0.8847
```

Values from the calculation:
Formation energy   92 meV/atom
Space group   No. 139
Polymorph energy (0 for the lowest one)   0 meV/atom

=====

Record 3
PrPbAu4 | GGA-PBE | optimized geometry Values from VASP.

Quantum ESPRESSO input file:
```
&SYSTEM
  ibrav = 0, nat = 6, ntyp = 3
/
ATOMIC_SPECIES
Pr 140.91 Pr.upf
Pb 207.20 Pb.upf
Au 196.97 Au.upf
ATOMIC_POSITIONS crystal
Pr 0.0000 0.0000 0.0000
Pb 0.0000 0.0000 0.5000
Au 0.3333 0.6667 0.2485
Au 0.3333 0.6667 0.7515
Au 0.6667 0.3333 0.2485
Au 0.6667 0.3333 0.7515
CELL_PARAMETERS angstrom
4.8691 0.0000 0.0000
-2.4346 4.2168 0.0000
0.0000 0.0000 6.7284
```

Values from the calculation:
Formation energy   -439 meV/atom
Space group   No. 191
Polymorph energy (0 for the lowest one)   0 meV/atom

=====

Record 4
K3PtN | GGA-PBE | optimized geometry Values from VASP.

Quantum ESPRESSO input file:
```
&SYSTEM
  ibrav = 0, nat = 5, ntyp = 3
/
ATOMIC_SPECIES
K 39.10 K.upf
Pt 195.08 Pt.upf
N 14.01 N.upf
ATOMIC_POSITIONS crystal
K 0.0000 0.5000 0.0000
K 0.0000 0.0000 0.5000
K 0.5000 0.0000 0.0000
Pt 0.5000 0.5000 0.5000
N 0.0000 0.0000 0.0000
CELL_PARAMETERS angstrom
-0.8366 -4.7276 -2.3657
2.8831 1.5996 -4.2161
4.4311 -1.9334 2.2966
```

Values from the calculation:
Space group   No. 221
Uncorrected formation energy   0.59 eV per atom
Polymorph energy (0 for the lowest one)   0 meV/atom